Entry 1:
DFT (PBE-GGA) results for a relaxed Cs2NpTlBr8 crystal.

Cell and atoms, written as POSCAR:
```
Cs2NpTlBr8
1.0
-6.2872 -4.3871 -0.2130
4.3584 -5.5178 2.7431
-2.3696 2.9256 9.6637
Tl Np Br Cs
1 1 8 2
Cartesian
-1.1848 1.4628 4.8318
0.0000 0.0000 0.0000
-1.2590 -2.3783 0.4185
-2.2753 -5.6246 6.7166
-2.0231 -1.3547 5.4772
2.2936 -4.2153 3.9449
0.8197 -2.4063 9.9567
-3.0393 -4.6010 11.7753
-6.5920 -2.7640 8.2489
-5.1181 -4.5729 2.2371
-1.5420 -4.2442 3.6217
-2.7564 -2.7351 8.5721
```

formation energy without anion corrections: -1.2545 eV per atom
final energy: -3.79 eV/atom



Entry 2:
DFT (PBE-GGA) results for a relaxed Cs3NpTl2Br9 crystal.

Cell and atoms, written as POSCAR:
```
Cs3NpTl2Br9
1.0
-5.1393 7.0096 -0.6799
1.6198 -4.9148 -7.0164
-8.4487 -5.9775 2.2367
Br Tl Cs Np
9 2 3 1
Cartesian
-1.7598 1.0474 -3.8482
-3.2051 -2.4870 -1.4130
-9.6607 1.3275 -0.1588
-2.3076 -5.2103 -5.3008
-5.1553 -1.3263 -5.6776
-6.8130 -2.5565 0.2180
-8.7632 -1.3958 -4.0466
-2.5697 3.5048 -0.3400
0.8099 -2.4574 -3.5082
-9.8926 -1.9222 -0.9373
-2.0757 -1.9606 -4.5224
-6.8807 -5.3601 -3.2503
0.0000 0.0000 0.0000
-5.0876 1.4773 -2.2093
-4.2244 -2.9888 1.1184
```

formation energy without anion corrections: -1.3756 eV per atom
final energy: -3.73 eV/atom



Entry 3:
DFT (PBE-GGA) results for a relaxed CsNpTl2Br6 crystal.

Cell and atoms, written as POSCAR:
```
CsNpTl2Br6
1.0
-1.6819 -3.5353 6.9983
-1.7100 -7.8265 -4.3646
11.0147 -3.3121 1.6235
Np Tl Br Cs
2 4 12 2
Cartesian
4.6664 -3.4237 4.3109
-0.8550 -3.9132 -2.1823
6.1573 -6.2824 7.8317
1.4654 -8.3914 -3.5744
6.8037 -8.7402 2.4513
0.8191 -5.9336 1.8060
4.6225 -3.4396 1.4182
5.2243 -6.2772 4.5117
7.7121 -6.1610 0.5884
1.8428 -4.0804 4.4983
-1.3381 -6.3094 -0.6347
3.0003 -11.2342 2.8391
7.0774 -11.7631 4.0884
2.3985 -8.3966 -0.2544
8.9609 -8.3644 4.8920
5.7800 -10.5933 -0.2410
0.5454 -2.9107 0.1689
-0.0894 -8.5128 3.6689
4.6524 -5.5693 -1.3705
-0.8410 -1.7676 3.4992
```

formation energy without anion corrections: -1.2530 eV per atom
final energy: -4.11 eV/atom